MnCrHg2W after structural relaxation. Source: Alexandria, functional PBE-GGA.

```
MnCrHg2W
1.0
5.270 0.000 0.000
0.000 5.270 0.000
0.000 0.000 4.459
Mn Cr Hg W
1 1 2 1
Direct
0.000 0.000 0.000
0.500 0.500 0.000
0.000 0.500 0.500
0.500 0.000 0.500
0.500 0.500 0.500
```

Values from the calculation:
Energy of formation from the pure elements ... 2.0004 eV per atom
Space-group type ... P4/mmm
Density of states at the Fermi level ... 9.15 states/eV/cell
Total DFT energy (no corrections) ... -22.35 eV/cell

UNi3 after structural relaxation. Source: Alexandria, functional PBE-GGA.

```
UNi3
1.0
3.860 0.000 0.000
0.000 3.860 0.000
0.000 0.000 3.860
U Ni
1 3
Direct
0.000 0.000 0.000
0.000 0.500 0.500
0.500 0.000 0.500
0.500 0.500 0.000
```

Values from the calculation:
Energy of formation from the pure elements ... -0.0702 eV per atom
Space-group type ... Pm-3m
Density of states at the Fermi level ... 7.90 states/eV/cell
Total DFT energy (no corrections) ... -28.91 eV/cell

MgScBr2 after structural relaxation. Source: Alexandria, functional PBE-GGA.

```
MgScBr2
1.0
3.684 0.000 0.000
0.000 4.552 0.000
-0.088 0.000 6.197
Mg Sc Br
1 1 2
Direct
0.000 0.000 0.000
0.500 0.000 0.500
0.313 0.500 0.738
0.687 0.500 0.262
```

Values from the calculation:
Space-group type ... P2/m
Density of states at the Fermi level ... 2.76 states/eV/cell
Total DFT energy (no corrections) ... -13.83 eV/cell
E_form (uncorrected) ... -638 meV per atom